Record 1
This record from Alexandria describes a geometry-optimized GdErAs structure. The functional is PBE.

It has space group P3m1 (No. 156), with a = 3.9453 Å, b = 3.9453 Å, c = 6.4700 Å, α = 90.00°, β = 90.00° and γ = 120.00°. The inequivalent atoms are Gd at (0.0000, 0.0000, 0.0000), Er at (0.3333, 0.6667, 0.5267) and As at (0.6667, 0.3333, 0.2684).

As for the total energy: -0.3172 hartree per atom. The calculation puts the offset from the most stable computed form at 0.000 eV per atom. Its formation energy is -0.868 eV/atom. Its volume is 87 Å³ per cell.

---

Record 2
This record from Alexandria describes a geometry-optimized TbTh2Mg6 structure. The functional is PBE.

It has space group R-3m (No. 166, hexagonal axes), with a = 9.1114 Å, b = 9.1114 Å, c = 9.9929 Å, α = 90.00°, β = 90.00° and γ = 120.00°. The inequivalent atoms are Tb at (0.0000, 0.0000, 0.0000), Th at (0.0000, 0.0000, 0.3418) and Mg at (0.0000, 0.3359, 0.5000).

As for the total energy: -0.1187 hartree per atom. Its formation energy is -0.004 eV/atom. Its volume is 718 Å³ per cell.

---

Record 3
This record from Alexandria describes a geometry-optimized SrAc3Pt3 structure. The functional is PBE.

It has space group Pnma (No. 62), with a = 12.855 Å, b = 4.333 Å, c = 15.712 Å, α = 90.00°, β = 90.00° and γ = 90.00°. The inequivalent atoms are Sr at (0.018, 0.250, 0.202), Ac at (0.056, 0.250, 0.595), Ac at (0.165, 0.750, 0.020), Ac at (0.244, 0.750, 0.301), Pt at (0.066, 0.250, 0.913), Pt at (0.116, 0.250, 0.403) and Pt at (0.229, 0.750, 0.655).

As for the total energy: -0.2048 hartree per atom. Its formation energy is -0.983 eV/atom. Its volume is 875 Å³ per cell.